(1)
Computed, not measured: a relaxed structure of PrDy2Zn2Ga2 at the PBE level of DFT.

The density of states at the Fermi level comes out at 3.81 states/eV per cell. The space-group type is R-3m, No. 166. The value obtained for the total energy is -25.4 eV per cell. The calculation puts the volume at 162.4 Å³/cell.

Geometry as POSCAR:
```
PrDy2Zn2Ga2
1.0
-0.9920 3.9559 1.8515
-3.6176 2.2645 -1.3589
-6.6854 -2.2562 6.6563
Pr Dy Zn Ga
1 2 2 2
Direct
0.0000 0.0000 0.0000 Pr
0.1283 0.1283 0.6150 Dy
0.8717 0.8717 0.3850 Dy
0.5956 0.5956 0.2132 Zn
0.4044 0.4044 0.7868 Zn
0.7424 0.7424 0.7727 Ga
0.2576 0.2576 0.2273 Ga
```

(2)
Computed, not measured: a relaxed structure of AlFe2HPt at the PBE level of DFT.

The density of states at the Fermi level comes out at 2.28 states/eV per cell. The space-group type is P4/mmm, No. 123. The value obtained for the total energy is -31.5 eV per cell. The calculation puts the volume at 54.6 Å³/cell.

Geometry as POSCAR:
```
AlFe2HPt
1.0
3.6241 0.0000 0.0000
0.0000 3.6241 0.0000
0.0000 0.0000 4.1568
H Fe Pt Al
1 2 1 1
Direct
0.0000 0.0000 0.0000 H
0.0000 0.5000 0.0000 Fe
0.5000 0.0000 0.0000 Fe
0.5000 0.5000 0.5000 Pt
0.0000 0.0000 0.5000 Al
```

(3)
Computed, not measured: a relaxed structure of LuScAlZn at the PBE level of DFT.

The density of states at the Fermi level comes out at 3.19 states/eV per cell. The space-group type is F-43m, No. 216. The value obtained for the total energy is -17.4 eV per cell. The calculation puts the volume at 81.7 Å³/cell.

Geometry as POSCAR:
```
LuScAlZn
1.0
4.8712 0.0000 0.0000
2.4356 4.2186 0.0000
2.4356 1.4062 3.9773
Sc Zn Lu Al
1 1 1 1
Direct
0.2500 0.2500 0.2500 Sc
0.0000 0.0000 0.0000 Zn
0.7500 0.7500 0.7500 Lu
0.5000 0.5000 0.5000 Al
```

(4)
Computed, not measured: a relaxed structure of CsIn2Pb at the PBE level of DFT.

The density of states at the Fermi level comes out at 5.02 states/eV per cell. The space-group type is P4/nmm, No. 129. The value obtained for the total energy is -20.2 eV per cell. The calculation puts the volume at 310.1 Å³/cell.

Geometry as POSCAR:
```
CsIn2Pb
1.0
5.0603 0.0000 0.0000
0.0000 5.0603 0.0000
0.0000 0.0000 12.1105
Cs In Pb
2 4 2
Direct
0.5000 0.0000 0.2372 Cs
0.0000 0.5000 0.7628 Cs
0.5000 0.0000 0.9382 In
0.0000 0.5000 0.0618 In
0.0000 0.0000 0.5000 In
0.5000 0.5000 0.5000 In
0.5000 0.0000 0.6538 Pb
0.0000 0.5000 0.3462 Pb
```

(5)
Computed, not measured: a relaxed structure of Ac3Al2Cu4 at the PBE level of DFT.

Its relative energy among the computed polymorphs is 0 meV/atom. The density of states at the Fermi level comes out at 6.26 states/eV per cell. The space-group type is C2/m, No. 12. The value obtained for the total energy is -38.6 eV per cell. The calculation puts the volume at 210.4 Å³/cell.

Geometry as POSCAR:
```
Ac3Al2Cu4
1.0
4.3506 0.0000 0.0000
-2.1753 5.4962 -0.9400
0.0000 -0.0790 8.8107
Ac Al Cu
3 2 4
Direct
0.3778 0.7556 0.6213 Ac
0.0000 0.0000 0.0000 Ac
0.6222 0.2444 0.3787 Ac
0.3171 0.6343 0.2158 Al
0.6829 0.3657 0.7842 Al
0.7374 0.4748 0.0765 Cu
0.0925 0.1849 0.6562 Cu
0.9075 0.8151 0.3438 Cu
0.2626 0.5252 0.9235 Cu
```

(6)
Computed, not measured: a relaxed structure of La2NbCl at the PBE level of DFT.

Its relative energy among the computed polymorphs is 4 meV/atom. The density of states at the Fermi level comes out at 7.46 states/eV per cell. For the raw formation energy, the calculation gives 46 meV/atom. The space-group type is I-42d, No. 122. The value obtained for the total energy is -43.2 eV per cell. The calculation puts the volume at 267.6 Å³/cell.

Geometry as POSCAR:
```
La2NbCl
1.0
6.6223 0.0000 0.0000
0.0000 6.6223 0.0000
3.3112 3.3112 6.1029
Nb Cl La
2 2 4
Direct
0.0000 0.0000 0.0000 Nb
0.7500 0.2500 0.5000 Nb
0.5000 0.5000 0.0000 Cl
0.2500 0.7500 0.5000 Cl
0.6731 0.1250 0.2500 La
0.0769 0.6250 0.2500 La
0.3750 0.3269 0.7500 La
0.8750 0.9231 0.7500 La
```

(7)
Computed, not measured: a relaxed structure of Ba4CaF10 at the PBE level of DFT.

The density of states at the Fermi level comes out at 0.00 states/eV per cell. For the raw formation energy, the calculation gives -3863 meV/atom. The space-group type is I4/m, No. 87. The value obtained for the total energy is -86.3 eV per cell. The calculation puts the volume at 287.4 Å³/cell.

Geometry as POSCAR:
```
Ba4CaF10
1.0
-0.3340 6.0944 0.6372
-6.0476 2.3658 3.7530
3.3144 2.6235 6.1957
Ba Ca F
4 1 10
Direct
0.3983 0.8056 0.3978 Ba
0.7961 0.6022 0.8056 Ba
0.2039 0.3978 0.1944 Ba
0.6017 0.1944 0.6022 Ba
0.0000 0.0000 0.0000 Ca
0.2500 0.5000 0.5000 F
0.6726 0.2817 0.9065 F
0.0457 0.0935 0.2817 F
0.4208 0.9065 0.7183 F
0.8608 0.7183 0.0935 F
0.3274 0.7183 0.0935 F
0.7500 0.5000 0.5000 F
0.1392 0.2817 0.9065 F
0.5792 0.0935 0.2817 F
0.9543 0.9065 0.7183 F
```

(8)
Computed, not measured: a relaxed structure of CsKBe2F8 at the PBE level of DFT.

The density of states at the Fermi level comes out at 19.48 states/eV per cell. For the raw formation energy, the calculation gives -2527 meV/atom. The space-group type is P-3, No. 147. The value obtained for the total energy is -54.7 eV per cell. The calculation puts the volume at 231.8 Å³/cell.

Geometry as POSCAR:
```
CsKBe2F8
1.0
5.3931 -0.0001 0.0000
-2.6965 4.6706 0.0000
0.0000 0.0000 9.2031
Cs K Be F
1 1 2 8
Direct
0.0000 0.0000 0.0000 Cs
0.0000 0.0000 0.5000 K
0.6667 0.3333 0.2434 Be
0.3333 0.6667 0.7566 Be
0.3333 0.6667 0.9257 F
0.3841 0.3065 0.2994 F
0.6935 0.0775 0.2994 F
0.6667 0.3333 0.0743 F
0.3065 0.9225 0.7006 F
0.6159 0.6935 0.7006 F
0.0775 0.3841 0.7006 F
0.9225 0.6159 0.2994 F
```

(9)
Computed, not measured: a relaxed structure of RbErTc2O8 at the PBE level of DFT.

The density of states at the Fermi level comes out at 6.88 states/eV per cell. For the raw formation energy, the calculation gives -1939 meV/atom. The space-group type is P-3, No. 147. The value obtained for the total energy is -89.2 eV per cell. The calculation puts the volume at 246.5 Å³/cell.

Geometry as POSCAR:
```
RbErTc2O8
1.0
5.9784 0.0000 0.0000
-2.9892 5.1774 0.0000
0.0000 0.0000 7.9644
Rb Er Tc O
1 1 2 8
Direct
0.0000 0.0000 0.0000 Rb
0.0000 0.0000 0.5000 Er
0.6667 0.3333 0.2532 Tc
0.3333 0.6667 0.7468 Tc
0.3333 0.6667 0.9661 O
0.3396 0.1681 0.3293 O
0.8319 0.1715 0.3293 O
0.6667 0.3333 0.0339 O
0.1681 0.8285 0.6707 O
0.6604 0.8319 0.6707 O
0.1715 0.3396 0.6707 O
0.8285 0.6604 0.3293 O
```

(10)
Computed, not measured: a relaxed structure of Ta2CuW at the PBE level of DFT.

Its relative energy among the computed polymorphs is 142 meV/atom. The density of states at the Fermi level comes out at 3.28 states/eV per cell. The space-group type is P2/m, No. 10. The value obtained for the total energy is -40.1 eV per cell. The calculation puts the volume at 65.8 Å³/cell.

Geometry as POSCAR:
```
Ta2CuW
1.0
-0.5739 2.5690 -3.6084
-2.6870 0.0455 0.4597
-0.3918 4.4390 3.2227
Cu Ta W
1 2 1
Direct
0.5000 0.7500 0.7500 Cu
0.0000 0.0073 0.0042 Ta
0.0000 0.4927 0.4958 Ta
0.5000 0.2500 0.2500 W
```

(11)
Computed, not measured: a relaxed structure of CsKTcCl6 at the PBE level of DFT.

For the raw formation energy, the calculation gives -1321 meV/atom. The space-group type is P-31c, No. 163. The value obtained for the total energy is -70.6 eV per cell. The calculation puts the volume at 677.0 Å³/cell.

Geometry as POSCAR:
```
CsKTcCl6
1.0
7.5883 0.0000 0.0000
-3.7942 6.5717 0.0000
0.0000 0.0000 13.5767
Cs K Tc Cl
2 2 2 12
Direct
0.0000 0.0000 0.0000 Cs
0.0000 0.0000 0.5000 Cs
0.3333 0.6667 0.2500 K
0.6667 0.3333 0.7500 K
0.6667 0.3333 0.2500 Tc
0.3333 0.6667 0.7500 Tc
0.6617 0.5863 0.1481 Cl
0.9246 0.3383 0.1481 Cl
0.3383 0.9246 0.6481 Cl
0.0754 0.6617 0.8519 Cl
0.4137 0.3383 0.3519 Cl
0.9246 0.5863 0.3519 Cl
0.5863 0.9246 0.8519 Cl
0.6617 0.0754 0.3519 Cl
0.0754 0.4137 0.6481 Cl
0.4137 0.0754 0.1481 Cl
0.5863 0.6617 0.6481 Cl
0.3383 0.4137 0.8519 Cl
```

(12)
Computed, not measured: a relaxed structure of Pm3Ag3IO8 at the PBE level of DFT.

The density of states at the Fermi level comes out at 3.15 states/eV per cell. For the raw formation energy, the calculation gives -1579 meV/atom. The space-group type is C2/m, No. 12. The value obtained for the total energy is -87.7 eV per cell. The calculation puts the volume at 261.0 Å³/cell.

Geometry as POSCAR:
```
Pm3Ag3IO8
1.0
-1.0765 -5.4974 4.1441
5.5705 -0.3430 -4.8661
1.2119 3.6817 5.1987
Pm Ag I O
3 3 1 8
Direct
0.5000 0.0000 0.5000 Pm
0.5000 0.5000 0.5000 Pm
0.0000 0.5000 0.5000 Pm
0.0000 0.0000 0.0000 Ag
0.0000 0.5000 0.0000 Ag
0.5000 0.5000 0.0000 Ag
0.0000 0.0000 0.5000 I
0.2962 0.5925 0.3159 O
0.7038 0.4075 0.6841 O
0.7511 0.5021 0.2552 O
0.2489 0.4979 0.7448 O
0.8201 0.0827 0.3267 O
0.1799 0.9173 0.6733 O
0.2626 0.0827 0.3267 O
0.7374 0.9173 0.6733 O
```

Look up the total energy of the ninth one. -89.2 eV per cell

Which of these has the lowest total energy? RbErTc2O8